The following is a GGA-PBE calculation of crystalline AlReAs2 at its relaxed geometry, from Alexandria.

Properties
Symmetry: I-42d, No. 122
Total moment (μB per atom): 0.000
DFT formation energy (eV per formula unit): 1.3
DOS at the Fermi energy (states/eV/f.u.): 2.1
Electronic total energy (Ry/atom): -0.444

Unit cell a=7.0253 b=7.0253 c=7.0253 alpha=132.67 beta=132.67 gamma=69.17
Fractional coordinates of all 8 atoms:
Al  0.0000  0.0000  0.0000
Al  0.7500  0.2500  0.5000
Re  0.2500  0.7500  0.5000
Re  0.5000  0.5000  0.0000
As  0.1425  0.6250  0.0175
As  0.3750  0.3925  0.5175
As  0.6075  0.1250  0.9825
As  0.8750  0.8575  0.4825